1.
Here is a crystal of Pr2BiO2 relaxed with PBEsol from Alexandria via LeMat-Bulk. Energies are from meta-GGA SCAN.

Structure (extended XYZ):
```
5
Lattice="4.0028 0.0000 0.0000 0.0000 4.0028 0.0000 -2.0014 -2.0014 6.9651" Properties=species:S:1:pos:R:3 pbc="T T T"
Pr 2.0014 2.0014 2.2884
Pr 0.0000 0.0000 4.6767
Bi 0.0000 0.0000 0.0000
O 2.0014 0.0000 3.4826
O 0.0000 2.0014 3.4826
```

Output
DOS at the Fermi energy: 0.9 states/eV per cell
energy relative to the elements, uncorrected: -14.08 eV per formula unit

---

2.
Here is a crystal of SrBe2Al2 relaxed with PBEsol from Alexandria via LeMat-Bulk. Energies are from meta-GGA SCAN.

Structure (extended XYZ):
```
5
Lattice="4.2018 0.0000 0.0000 0.0000 4.2018 0.0000 -2.1009 -2.1009 5.1221" Properties=species:S:1:pos:R:3 pbc="T T T"
Sr 0.0000 0.0000 0.0000
Al 0.0000 0.0000 3.7593
Al 2.1009 2.1009 1.3629
Be 0.0000 2.1009 2.5611
Be 2.1009 0.0000 2.5611
```

Output
DOS at the Fermi energy: 1.9 states/eV per cell
E_form: 38 meV/atom

---

3.
Here is a crystal of NbCuRe3 relaxed with PBEsol from Alexandria via LeMat-Bulk. Energies are from meta-GGA SCAN.

Structure (extended XYZ):
```
5
Lattice="4.6793 0.0000 0.0000 0.0000 4.6793 0.0000 0.0000 0.0000 4.6793" Properties=species:S:1:pos:R:3 pbc="T T T"
Re 0.0000 2.3397 0.0000
Re 0.0000 0.0000 2.3397
Re 2.3397 0.0000 0.0000
Nb 0.0000 0.0000 0.0000
Cu 2.3397 2.3397 2.3397
```

Output
DOS at the Fermi energy: 4.1 states/eV per cell
E_form: 2737 meV/atom

---

4.
Here is a crystal of CsBiF2 relaxed with PBEsol from Alexandria via LeMat-Bulk. Energies are from meta-GGA SCAN.

Structure (extended XYZ):
```
4
Lattice="4.9721 0.0000 0.0000 2.4861 4.3060 0.0000 2.4861 1.4353 4.0597" Properties=species:S:1:pos:R:3 pbc="T T T"
Cs 0.0000 0.0000 0.0000
Bi 4.9721 2.8707 2.0299
F 2.4861 1.4353 1.0149
F 7.4582 4.3060 3.0448
```

Output
DOS at the Fermi energy: 2.8 states/eV per cell
energy relative to the elements, uncorrected: -5.10 eV per formula unit

---

5.
Here is a crystal of Na2GeTe relaxed with PBEsol from Alexandria via LeMat-Bulk. Energies are from meta-GGA SCAN.

Structure (extended XYZ):
```
8
Lattice="-5.2376 -2.3115 1.5020 -1.0776 -0.9247 6.4810 -4.9152 4.3060 1.1484" Properties=species:S:1:pos:R:3 pbc="T T T"
Na -4.1877 0.9224 7.2247
Na -5.7334 0.7252 1.5312
Na -2.5144 -1.3136 3.7879
Na -10.0256 1.8055 5.7190
Ge -4.3058 1.1128 4.1902
Ge -2.6188 -1.1557 0.7510
Te -6.9247 -0.0430 4.9412
Te 0.0000 0.0000 0.0000
```

Output
DOS at the Fermi energy: 3.8 states/eV per cell
energy relative to the elements, uncorrected: -0.59 eV per formula unit

---

6.
Here is a crystal of TlSb2Pt relaxed with PBEsol from Alexandria via LeMat-Bulk. Energies are from meta-GGA SCAN.

Structure (extended XYZ):
```
4
Lattice="4.1135 0.0000 0.0000 2.0568 3.5518 0.0471 2.0568 1.0849 7.2722" Properties=species:S:1:pos:R:3 pbc="T T T"
Sb 2.0568 1.1005 6.0408
Sb 2.0568 1.1728 1.2810
Tl 4.1135 2.3112 3.6030
Pt 4.1135 2.3704 0.0542
```

Output
E above lowest polymorph: 0 meV per atom
DOS at the Fermi energy: 1.6 states/eV per cell
energy relative to the elements, uncorrected: -1.41 eV per formula unit

---

7.
Here is a crystal of RbScRhSe2 relaxed with PBEsol from Alexandria via LeMat-Bulk. Energies are from meta-GGA SCAN.

Structure (extended XYZ):
```
5
Lattice="4.7050 0.0000 0.0000 0.0000 5.2576 0.0000 0.0000 0.0000 5.2576" Properties=species:S:1:pos:R:3 pbc="T T T"
Sc 0.0000 0.0000 0.0000
Rh 2.3525 0.0000 0.0000
Se 0.0000 0.0000 2.6288
Se 0.0000 2.6288 0.0000
Rb 2.3525 2.6288 2.6288
```

Output
DOS at the Fermi energy: 2.9 states/eV per cell
energy relative to the elements, uncorrected: -2.56 eV per formula unit

---

8.
Here is a crystal of InCoMo2 relaxed with PBEsol from Alexandria via LeMat-Bulk. Energies are from meta-GGA SCAN.

Structure (extended XYZ):
```
4
Lattice="-1.1770 -3.5763 -1.1360 2.5393 0.1174 -3.0007 2.0449 0.1195 4.3123" Properties=species:S:1:pos:R:3 pbc="T T T"
Mo 0.0000 0.0000 0.0000
Mo 0.7745 -2.5931 0.5540
Co 0.6812 -1.7295 -2.0683
In 2.6327 -0.7463 -0.3784
```

Output
DOS at the Fermi energy: 3.1 states/eV per cell
E_form: 385 meV/atom

---

9.
Here is a crystal of Re2POsSe relaxed with PBEsol from Alexandria via LeMat-Bulk. Energies are from meta-GGA SCAN.

Structure (extended XYZ):
```
5
Lattice="-0.6858 -0.8314 -4.3369 -4.2345 -1.2598 0.9111 -1.3922 4.2493 -0.5945" Properties=species:S:1:pos:R:3 pbc="T T T"
Re -0.6961 2.1246 -0.2972
Re -2.1172 -0.6299 0.4556
Os -0.3429 -0.4157 -2.1685
Se 0.0000 0.0000 0.0000
P -3.1562 1.0790 -2.0101
```

Output
DOS at the Fermi energy: 3.5 states/eV per cell
energy relative to the elements, uncorrected: 11.22 eV per formula unit

---

10.
Here is a crystal of MoAsCSe2 relaxed with PBEsol from Alexandria via LeMat-Bulk. Energies are from meta-GGA SCAN.

Structure (extended XYZ):
```
5
Lattice="4.7922 0.0000 0.0000 0.0000 4.7922 0.0000 0.0000 0.0000 4.8580" Properties=species:S:1:pos:R:3 pbc="T T T"
C 2.3961 2.3961 2.4290
Mo 0.0000 0.0000 0.0000
As 0.0000 0.0000 2.4290
Se 0.0000 2.3961 0.0000
Se 2.3961 0.0000 0.0000
```

Output
DOS at the Fermi energy: 3.0 states/eV per cell
energy relative to the elements, uncorrected: 8.00 eV per formula unit

---

11.
Here is a crystal of Tl3TcSb relaxed with PBEsol from Alexandria via LeMat-Bulk. Energies are from meta-GGA SCAN.

Structure (extended XYZ):
```
5
Lattice="-4.0183 2.7760 -1.9547 -1.1587 -3.9681 -3.2535 -3.1913 -2.0547 3.6425" Properties=species:S:1:pos:R:3 pbc="T T T"
Sb -4.1841 -1.6234 -0.7829
Tl -0.5793 -1.9840 -1.6268
Tl -1.5957 -1.0273 1.8212
Tl -2.0092 1.3880 -0.9773
Tc 0.0000 0.0000 0.0000
```

Output
DOS at the Fermi energy: 2.1 states/eV per cell
energy relative to the elements, uncorrected: 3.10 eV per formula unit

---

12.
Here is a crystal of CoSeS relaxed with PBEsol from Alexandria via LeMat-Bulk. Energies are from meta-GGA SCAN.

Structure (extended XYZ):
```
12
Lattice="5.5552 0.0000 0.0000 0.0000 5.5552 0.0000 0.0000 0.0000 5.5552" Properties=species:S:1:pos:R:3 pbc="T T T"
Co 2.8333 2.7219 5.4995
Co 2.7219 5.4995 2.8333
Co 5.4995 2.8333 2.7219
Co 0.0557 0.0557 0.0557
Se 4.8448 0.7104 3.4880
Se 0.7104 3.4880 4.8448
Se 3.4880 4.8448 0.7104
Se 2.0672 2.0672 2.0672
S 0.6859 4.8692 2.0917
S 4.8692 2.0917 0.6859
S 2.0917 0.6859 4.8692
S 3.4635 3.4635 3.4635
```

Output
DOS at the Fermi energy: 3.1 states/eV per cell
energy relative to the elements, uncorrected: -1.09 eV per formula unit

---

13.
Here is a crystal of Ba3CrH relaxed with PBEsol from Alexandria via LeMat-Bulk. Energies are from meta-GGA SCAN.

Structure (extended XYZ):
```
5
Lattice="-4.7734 0.5662 -3.5721 0.1770 -5.8714 -1.1672 -3.6124 -1.0359 4.6630" Properties=species:S:1:pos:R:3 pbc="T T T"
Cr 0.0000 0.0000 0.0000
Ba 0.0885 -2.9357 -0.5836
Ba -1.8062 -0.5179 2.3315
Ba -2.3867 0.2831 -1.7861
H -4.1044 -3.1705 -0.0381
```

Output
DOS at the Fermi energy: 4.3 states/eV per cell
E_tot: -27.35 eV per atom

---

14.
Here is a crystal of Cs2TaBeW relaxed with PBEsol from Alexandria via LeMat-Bulk. Energies are from meta-GGA SCAN.

Structure (extended XYZ):
```
5
Lattice="-0.7981 -0.3374 4.6750 -0.8980 -6.3836 -0.6140 6.3202 -0.9861 1.0078" Properties=species:S:1:pos:R:3 pbc="T T T"
Cs 3.1601 -0.4930 0.5039
Cs -0.4490 -3.1918 -0.3070
Be 2.3120 -3.8535 2.5344
W 0.0000 0.0000 0.0000
Ta -0.3991 -0.1687 2.3375
```

Output
DOS at the Fermi energy: 5.0 states/eV per cell
E_form: 2257 meV/atom

---

15.
Here is a crystal of Sr2Fe3O6 relaxed with PBEsol from Alexandria via LeMat-Bulk. Energies are from meta-GGA SCAN.

Structure (extended XYZ):
```
44
Lattice="5.3394 0.0000 0.0000 0.0000 5.3394 0.0000 0.0000 0.0000 19.8087" Properties=species:S:1:pos:R:3 pbc="T T T"
Sr 3.9640 3.9640 8.1072
Sr 1.3754 1.3754 8.1072
Sr 4.0451 1.2943 18.0116
Sr 1.2943 4.0451 18.0116
Sr 1.3754 1.3754 11.7015
Sr 3.9640 3.9640 11.7015
Sr 1.2943 4.0451 1.7971
Sr 4.0451 1.2943 1.7971
Fe 1.3232 4.0162 9.9044
Fe 4.0162 1.3232 9.9044
Fe 1.3465 1.3465 0.0000
Fe 3.9929 3.9929 0.0000
Fe 0.9654 4.3740 5.8580
Fe 4.3740 0.9654 5.8580
Fe 1.7043 1.7043 15.7624
Fe 3.6351 3.6351 15.7624
Fe 4.3740 0.9654 13.9507
Fe 0.9654 4.3740 13.9507
Fe 3.6351 3.6351 4.0463
Fe 1.7043 1.7043 4.0463
O 0.0000 0.0000 9.9044
O 2.6697 2.6697 0.0000
O 0.0000 2.6697 9.9044
O 2.6697 0.0000 0.0000
O 2.6697 0.0000 9.9044
O 0.0000 2.6697 0.0000
O 2.6697 2.6697 9.9044
O 0.0000 0.0000 0.0000
O 1.3316 4.0078 7.6345
O 4.0078 1.3316 7.6345
O 1.3381 1.3381 17.5389
O 4.0013 4.0013 17.5389
O 4.0078 1.3316 12.1742
O 1.3316 4.0078 12.1742
O 4.0013 4.0013 2.2698
O 1.3381 1.3381 2.2698
O 4.3160 4.3160 5.6874
O 1.0234 1.0234 5.6874
O 3.6931 1.6463 15.5918
O 1.6463 3.6931 15.5918
O 1.0234 1.0234 14.1213
O 4.3160 4.3160 14.1213
O 1.6463 3.6931 4.2170
O 3.6931 1.6463 4.2170
```

Output
DOS at the Fermi energy: 15.3 states/eV per cell
energy relative to the elements, uncorrected: -23.94 eV per formula unit

---

16.
Here is a crystal of YZrB3 relaxed with PBEsol from Alexandria via LeMat-Bulk. Energies are from meta-GGA SCAN.

Structure (extended XYZ):
```
5
Lattice="-0.9411 3.8186 1.6421 -2.3967 -1.8741 2.9846 3.3962 -0.2644 2.5612" Properties=species:S:1:pos:R:3 pbc="T T T"
Y 0.0000 0.0000 0.0000
B -1.1983 -0.9370 1.4923
B 1.6981 -0.1322 1.2806
B -0.4705 1.9093 0.8210
Zr 0.0292 0.8401 3.5939
```

Output
DOS at the Fermi energy: 2.5 states/eV per cell
E_form: 1581 meV/atom

---

17.
Here is a crystal of Ba2YRe relaxed with PBEsol from Alexandria via LeMat-Bulk. Energies are from meta-GGA SCAN.

Structure (extended XYZ):
```
4
Lattice="3.5809 0.0000 0.0000 1.7904 3.1011 0.0000 1.7904 1.0337 11.0894" Properties=species:S:1:pos:R:3 pbc="T T T"
Ba 1.7904 1.0337 3.2798
Ba 5.3713 3.1012 7.8097
Re 3.5809 2.0674 5.5447
Y 0.0000 0.0000 0.0000
```

Output
E above lowest polymorph: 78 meV per atom
DOS at the Fermi energy: 5.2 states/eV per cell
E_form: 1205 meV/atom

---

18.
Here is a crystal of KNbCd2Rh relaxed with PBEsol from Alexandria via LeMat-Bulk. Energies are from meta-GGA SCAN.

Structure (extended XYZ):
```
5
Lattice="5.2406 0.0000 0.0000 0.0000 5.2406 0.0000 0.0000 0.0000 5.2067" Properties=species:S:1:pos:R:3 pbc="T T T"
Nb 0.0000 0.0000 0.0000
Rh 2.6203 2.6203 2.6034
K 0.0000 0.0000 2.6034
Cd 0.0000 2.6203 0.0000
Cd 2.6203 0.0000 0.0000
```

Output
DOS at the Fermi energy: 3.3 states/eV per cell
E_form: 1773 meV/atom

---

19.
Here is a crystal of Cr5W3 relaxed with PBEsol from Alexandria via LeMat-Bulk. Energies are from meta-GGA SCAN.

Structure (extended XYZ):
```
16
Lattice="5.9256 0.0000 0.0000 0.0000 5.9257 0.0007 0.0000 0.0093 5.9257" Properties=species:S:1:pos:R:3 pbc="T T T"
Cr 0.0000 5.8972 5.8887
Cr 0.0000 5.9114 3.0050
Cr 1.4447 1.4841 4.4446
Cr 4.4809 1.4841 4.4446
Cr 0.0000 3.0135 5.9070
Cr 2.9628 2.9830 2.9787
Cr 1.4379 4.4589 4.4525
Cr 4.4877 4.4589 4.4525
Cr 1.4447 4.4467 1.4776
Cr 4.4809 4.4467 1.4776
W 2.9628 5.8980 5.8894
W 2.9628 5.8733 2.9959
W 1.4454 1.4834 1.4813
W 4.4802 1.4834 1.4813
W 2.9628 3.0044 5.8689
W 0.0000 3.0222 3.0178
```

Output
DOS at the Fermi energy: 9.3 states/eV per cell
E_form: 91 meV/atom

---

20.
Here is a crystal of Mo2AsW relaxed with PBEsol from Alexandria via LeMat-Bulk. Energies are from meta-GGA SCAN.

Structure (extended XYZ):
```
4
Lattice="2.9244 0.0000 0.0224 0.0000 4.1444 0.0000 -0.0419 0.0000 5.0642" Properties=species:S:1:pos:R:3 pbc="T T T"
Mo 2.8807 0.0000 5.0673
Mo 1.4512 2.0722 1.2968
As 1.4299 2.0722 3.8296
W -0.0176 0.0000 2.5115
```

Output
DOS at the Fermi energy: 2.3 states/eV per cell
E_form: 220 meV/atom

---

21.
Here is a crystal of K2FeW relaxed with PBEsol from Alexandria via LeMat-Bulk. Energies are from meta-GGA SCAN.

Structure (extended XYZ):
```
4
Lattice="3.0396 0.0000 0.0000 0.0000 3.6304 -0.1196 -1.5198 -1.4495 10.2679" Properties=species:S:1:pos:R:3 pbc="T T T"
Fe 1.5198 0.0000 0.0000
K 1.5198 2.0874 7.1554
K 0.0000 0.0935 2.9929
W 0.0000 1.8152 -0.0598
```

Output
E above lowest polymorph: 0 meV per atom
DOS at the Fermi energy: 3.4 states/eV per cell
E_form: 1039 meV/atom

---

22.
Here is a crystal of Tb3Co2Ge4 relaxed with PBEsol from Alexandria via LeMat-Bulk. Energies are from meta-GGA SCAN.

Structure (extended XYZ):
```
9
Lattice="4.0982 0.0000 0.0000 -2.0491 5.2749 0.0018 0.0000 -2.3898 7.5540" Properties=species:S:1:pos:R:3 pbc="T T T"
Tb 0.0000 0.0000 0.0000
Tb 2.0491 -0.3652 5.2313
Tb 0.0000 3.2502 2.3246
Co 0.0000 1.7342 4.7347
Co 2.0491 1.1509 2.8211
Ge 2.0491 2.7965 4.5426
Ge 2.0491 2.0187 0.6157
Ge 0.0000 0.8664 6.9402
Ge 0.0000 0.0886 3.0132
```

Output
DOS at the Fermi energy: 4.9 states/eV per cell
E_form: -753 meV/atom

---

23.
Here is a crystal of Re2TcBr relaxed with PBEsol from Alexandria via LeMat-Bulk. Energies are from meta-GGA SCAN.

Structure (extended XYZ):
```
4
Lattice="2.8638 0.0000 0.0000 0.0000 3.8261 0.0000 0.0000 0.0000 5.8067" Properties=species:S:1:pos:R:3 pbc="T T T"
Re 0.0000 0.0000 4.5773
Re 0.0000 0.0000 1.2295
Tc 1.4319 1.9130 0.0000
Br 1.4319 1.9130 2.9034
```

Output
E above lowest polymorph: 465 meV per atom
DOS at the Fermi energy: 4.0 states/eV per cell
energy relative to the elements, uncorrected: 4.35 eV per formula unit

---

24.
Here is a crystal of Li2AgAu2 relaxed with PBEsol from Alexandria via LeMat-Bulk. Energies are from meta-GGA SCAN.

Structure (extended XYZ):
```
10
Lattice="2.8315 0.0000 0.0000 0.0000 7.4126 0.0000 0.0000 0.0000 7.4126" Properties=species:S:1:pos:R:3 pbc="T T T"
Au 0.0000 2.6924 6.3987
Au 0.0000 6.3987 4.7203
Au 0.0000 4.7203 1.0139
Au 0.0000 1.0139 2.6924
Ag 0.0000 0.0000 0.0000
Ag 0.0000 3.7063 3.7063
Li 1.4158 1.1992 4.9055
Li 1.4158 4.9055 6.2134
Li 1.4158 6.2134 2.5071
Li 1.4158 2.5071 1.1992
```

Output
E above lowest polymorph: 0 meV per atom
DOS at the Fermi energy: 2.6 states/eV per cell
E_form: -434 meV/atom

---

25.
Here is a crystal of La3PdW relaxed with PBEsol from Alexandria via LeMat-Bulk. Energies are from meta-GGA SCAN.

Structure (extended XYZ):
```
5
Lattice="5.4257 0.0000 0.0000 0.0000 5.4257 0.0000 0.0000 0.0000 5.4257" Properties=species:S:1:pos:R:3 pbc="T T T"
Pd 0.0000 0.0000 0.0000
W 2.7128 2.7128 2.7128
La 0.0000 2.7128 0.0000
La 0.0000 0.0000 2.7128
La 2.7128 0.0000 0.0000
```

Output
DOS at the Fermi energy: 7.6 states/eV per cell
E_form: 763 meV/atom